# 1
AlTe | GGA-PBE | relaxed

Output
* DOS at the Fermi energy: 0.2273 states/eV per atom
* calculated density: 4.1 g/cm3
* energy relative to the elements, uncorrected: 0.082 eV per atom
* volume: 31.35 A^3/atom

Cell: 8.4308 8.4308 8.4308 Å, 152.75 152.75 38.92°
Fractional coordinates of all 4 atoms:
Al 0.3750 0.6250 0.7500
Al 0.6250 0.3750 0.2500
Te 0.1250 0.8750 0.2500
Te 0.8750 0.1250 0.7500


# 2
AlTe2 | GGA-PBE | relaxed

Output
* DOS at the Fermi energy: 0.4913 states/eV per atom
* calculated density: 5.6 g/cm3
* energy relative to the elements, uncorrected: 0.322 eV per atom
* volume: 28.09 A^3/atom

Cell: 5.6322 5.6322 3.0673 Å, 90.00 90.00 120.00°
Fractional coordinates of all 3 atoms:
Al 0.0000 0.0000 0.0000
Te 0.3333 0.6667 0.5000
Te 0.6667 0.3333 0.5000


# 3
AlTe2 | GGA-PBE | relaxed

Output
* DOS at the Fermi energy: 0.7648 states/eV per atom
* calculated density: 5.7 g/cm3
* energy relative to the elements, uncorrected: -0.114 eV per atom
* volume: 27.64 A^3/atom

Cell: 3.9815 3.9815 12.0816 Å, 90.00 90.00 120.00°
Fractional coordinates of all 6 atoms:
Al 0.0000 0.0000 0.2500
Al 0.0000 0.0000 0.7500
Te 0.3333 0.6667 0.1096
Te 0.3333 0.6667 0.3904
Te 0.6667 0.3333 0.6096
Te 0.6667 0.3333 0.8904


# 4
Al2Te | GGA-PBE | relaxed

Output
* DOS at the Fermi energy: 0.0288 states/eV per atom
* calculated density: 3.9 g/cm3
* energy relative to the elements, uncorrected: 0.105 eV per atom
* volume: 25.53 A^3/atom
* relative energy among the computed polymorphs: 140 meV per atom

Cell: 6.4533 6.4533 8.4959 Å, 90.00 90.00 120.00°
Fractional coordinates of all 12 atoms:
Al 0.0000 0.0000 0.0000
Al 0.0000 0.0000 0.5000
Al 0.1473 0.2946 0.2500
Al 0.1473 0.8527 0.2500
Al 0.2946 0.1473 0.7500
Al 0.7054 0.8527 0.2500
Al 0.8527 0.1473 0.7500
Al 0.8527 0.7054 0.7500
Te 0.3333 0.6667 0.0300
Te 0.3333 0.6667 0.4700
Te 0.6667 0.3333 0.5300
Te 0.6667 0.3333 0.9700